(1)
The following is a DFT calculation (PBE) of a relaxed structure of KIn2Pt.

Energy of formation from the pure elements   134 meV per atom
Magnetic moment   0.0 Bohr magnetons per cell
E   -3.02 eV/atom
Calculated volume   97.72 Å³/cell

a = 2.991 Å, b = 5.940 Å, c = 6.428 Å
α = 58.83°, β = 90.00°, γ = 90.00°
Atoms (fractional coordinates):
1 In 0.500 0.500 0.000
2 In 0.000 0.000 0.000
3 Pt 0.000 0.000 0.500
4 K 0.500 0.500 0.500

(2)
The following is a DFT calculation (PBE) of a relaxed structure of BaReO3.

Magnetic moment   5.0 Bohr magnetons per cell
E_form (uncorrected)   0.90 eV/atom
E   -4.95 eV/atom
Calculated volume   94.40 Å³/cell

a = 4.553 Å, b = 4.553 Å, c = 4.553 Å
α = 90.00°, β = 90.00°, γ = 90.00°
Atoms (fractional coordinates):
1 O 0.000 0.500 0.000
2 O 0.500 0.000 0.000
3 O 0.000 0.000 0.500
4 Ba 0.000 0.000 0.000
5 Re 0.500 0.500 0.500